# 1
Na2TaAg: relaxed, GGA-PBEsol.

a b c (Å): 4.9749 4.9749 4.9749
angles (deg): 60.00 60.00 60.00
Closest atoms and distances in Å follow each position.
Atoms (fractional coordinates):
Ag 0.0000 0.0000 0.0000  8 Na 3.05
Ta 0.5000 0.5000 0.5000  8 Na 3.05
Na 0.2500 0.2500 0.2500  4 Ta 3.05, 4 Ag 3.05
Na 0.7500 0.7500 0.7500  4 Ta 3.05, 4 Ag 3.05

total DFT energy (no corrections) = -3.30 eV per atom
crystal system = cubic
formation energy = 1.3622 eV per atom
D(E_F) = 1.215 states/eV per atom



# 2
Na2TaAg: relaxed, GGA-PBEsol.

a b c (Å): 5.4490 6.3321 6.3321
angles (deg): 79.33 64.52 64.52
Closest atoms and distances in Å follow each position.
Atoms (fractional coordinates):
Ta 0.7500 0.5000 0.5000  2 Ag 2.72
Na 0.5933 0.0317 0.5317  2 Ag 2.77, 2 Na 2.77
Na 0.1567 0.9683 0.4683  2 Ag 2.77, 2 Na 2.77
Na 0.3750 0.4683 0.0317  2 Ag 2.77, 2 Na 2.77
Na 0.8750 0.5317 0.9683  2 Ag 2.77, 2 Na 2.77
Ag 0.5000 0.0000 0.0000  2 Ta 2.72, 4 Na 2.77
Ta 0.0000 0.0000 0.0000  2 Ag 2.72
Ag 0.2500 0.5000 0.5000  2 Ta 2.72, 4 Na 2.77

total DFT energy (no corrections) = -3.36 eV per atom
crystal system = tetragonal
formation energy = 1.3016 eV per atom
D(E_F) = 0.929 states/eV per atom



# 3
NaAgTe: relaxed, GGA-PBEsol.

a b c (Å): 4.5421 7.7208 8.2811
angles (deg): 90.00 90.00 90.00
Closest atoms and distances in Å follow each position.
Atoms (fractional coordinates):
Te 0.7500 0.2409 0.8782  4 Ag 2.85-2.87, 3 Na 3.11-3.19
Te 0.7500 0.7409 0.6218  4 Ag 2.85-2.87, 3 Na 3.11-3.19
Ag 0.7500 0.3756 0.5559  4 Te 2.85-2.87, 2 Ag 3.12, 1 Na 3.19
Ag 0.2500 0.1244 0.0559  4 Te 2.85-2.87, 2 Ag 3.12, 1 Na 3.19
Ag 0.2500 0.6244 0.4441  4 Te 2.85-2.87, 2 Ag 3.12, 1 Na 3.19
Te 0.2500 0.2591 0.3782  4 Ag 2.85-2.87, 3 Na 3.11-3.19
Ag 0.7500 0.8756 0.9441  4 Te 2.85-2.87, 2 Ag 3.12, 1 Na 3.19
Na 0.2500 0.0240 0.6825  5 Te 3.11-3.25, 3 Ag 3.19-3.34
Na 0.2500 0.5240 0.8175  5 Te 3.11-3.25, 3 Ag 3.19-3.34
Na 0.7500 0.4760 0.1825  5 Te 3.11-3.25, 3 Ag 3.19-3.34
Na 0.7500 0.9760 0.3175  5 Te 3.11-3.25, 3 Ag 3.19-3.34
Te 0.2500 0.7591 0.1218  4 Ag 2.85-2.87, 3 Na 3.11-3.19

formation energy (no corrections) = -0.523 eV/atom
total DFT energy (no corrections) = -3.27 eV per atom
crystal system = orthorhombic



# 4
NaTi2Ag: relaxed, GGA-PBEsol.

a b c (Å): 4.6615 4.6615 4.6615
angles (deg): 60.00 60.00 60.00
Closest atoms and distances in Å follow each position.
Atoms (fractional coordinates):
Ag 0.5000 0.5000 0.5000  8 Ti 2.85
Ti 0.7500 0.7500 0.7500  4 Na 2.85, 4 Ag 2.85
Na 0.0000 0.0000 0.0000  8 Ti 2.85
Ti 0.2500 0.2500 0.2500  4 Ag 2.85, 4 Na 2.85

total DFT energy (no corrections) = -4.71 eV per atom
crystal system = cubic
formation energy = 0.6265 eV per atom
D(E_F) = 1.047 states/eV per atom



# 5
Na3TlAg: relaxed, GGA-PBEsol.

a b c (Å): 5.4759 5.4759 5.4759
angles (deg): 90.00 90.00 90.00
Closest atoms and distances in Å follow each position.
Atoms (fractional coordinates):
Tl 0.5000 0.5000 0.5000  12 Na 3.87
Ag 0.0000 0.0000 0.0000  6 Na 2.74
Na 0.5000 0.0000 0.0000  2 Ag 2.74
Na 0.0000 0.5000 0.0000  2 Ag 2.74
Na 0.0000 0.0000 0.5000  2 Ag 2.74

total DFT energy (no corrections) = -1.82 eV per atom
crystal system = cubic
formation energy = 0.2115 eV per atom
D(E_F) = 0.503 states/eV per atom



# 6
Na2Tl2Ag: relaxed, GGA-PBEsol.

a b c (Å): 4.9218 7.3466 7.3466
angles (deg): 90.00 90.00 90.00
Closest atoms and distances in Å follow each position.
Atoms (fractional coordinates):
Ag 0.0000 0.0000 0.0000  4 Tl 2.82
Tl 0.0000 0.3558 0.8558  2 Ag 2.82, 1 Tl 3.00, 2 Na 3.13
Na 0.5000 0.1689 0.6689  6 Tl 3.13-3.37, 1 Na 3.51
Tl 0.0000 0.6442 0.1442  2 Ag 2.82, 1 Tl 3.00, 2 Na 3.13
Na 0.5000 0.8311 0.3311  6 Tl 3.13-3.37, 1 Na 3.51
Na 0.5000 0.3311 0.1689  6 Tl 3.13-3.37, 1 Na 3.51
Ag 0.0000 0.5000 0.5000  4 Tl 2.82
Tl 0.0000 0.8558 0.6442  2 Ag 2.82, 1 Tl 3.00, 2 Na 3.13
Tl 0.0000 0.1442 0.3558  2 Ag 2.82, 1 Tl 3.00, 2 Na 3.13
Na 0.5000 0.6689 0.8311  6 Tl 3.13-3.37, 1 Na 3.51

total DFT energy (no corrections) = -2.27 eV per atom
crystal system = tetragonal
formation energy = 0.0090 eV per atom
D(E_F) = 0.534 states/eV per atom



Q: Among the records above, which one has the highest total DFT energy (no corrections)?
A: Na3TlAg